A geometry-optimized CsTe3N structure, computed with GGA-PBE.

Properties
Offset from the most stable computed form (meV/atom): 0.0
ρ (g/cm³): 6.5
Fermi-level density of states (states/eV per cell): 4.49

a = 5.121 Å, b = 5.121 Å, c = 5.121 Å
α = 90.00°, β = 90.00°, γ = 90.00°
Fractional coordinates of all 5 atoms:
Te: 0.500 0.000 0.000
N: 0.000 0.000 0.000
Te: 0.000 0.500 0.000
Cs: 0.500 0.500 0.500
Te: 0.000 0.000 0.500



A geometry-optimized CsTe3N structure, computed with GGA-PBE.

Properties
Offset from the most stable computed form (meV/atom): 1312.2
ρ (g/cm³): 2.6
Fermi-level density of states (states/eV per cell): 10.42

a = 7.003 Å, b = 7.003 Å, c = 7.003 Å
α = 90.00°, β = 90.00°, γ = 90.00°
Last column: magnetic moment on the atom in μB.
Fractional coordinates of all 5 atoms:
Cs: 0.000 0.000 0.000  0.08
Te: 0.000 0.000 0.500  1.03
Te: 0.500 0.000 0.000  0.64
Te: 0.000 0.500 0.000  0.82
N: 0.500 0.500 0.500  1.93



A geometry-optimized CsTeN structure, computed with GGA-PBE.

Properties
Offset from the most stable computed form (meV/atom): 0.0
ρ (g/cm³): 2.9
Fermi-level density of states (states/eV per cell): 1.59

a = 3.456 Å, b = 6.867 Å, c = 14.989 Å
α = 103.24°, β = 112.30°, γ = 90.00°
Fractional coordinates of all 6 atoms:
N: 0.631 0.519 0.037
Te: 0.232 0.320 0.641
N: 0.369 0.481 0.963
Te: 0.768 0.680 0.359
Cs: 0.700 0.811 0.622
Cs: 0.300 0.189 0.378



A geometry-optimized CsTe2N2 structure, computed with GGA-PBE.

Properties
Offset from the most stable computed form (meV/atom): 801.6
ρ (g/cm³): 5.8
Fermi-level density of states (states/eV per cell): 3.10

a = 4.590 Å, b = 4.590 Å, c = 5.703 Å
α = 90.00°, β = 90.00°, γ = 90.00°
Last column: magnetic moment on the atom in μB.
Fractional coordinates of all 5 atoms:
Te: 0.000 0.500 0.000  0.02
N: 0.000 0.000 0.000  -0.08
Cs: 0.500 0.500 0.500  0.02
N: 0.000 0.000 0.500  1.62
Te: 0.500 0.000 0.000  0.02



A geometry-optimized CsTiTe2N structure, computed with GGA-PBE.

Properties
Offset from the most stable computed form (meV/atom): 2083.8
ρ (g/cm³): 4.3
Fermi-level density of states (states/eV per cell): 5.95

a = 6.278 Å, b = 6.278 Å, c = 4.379 Å
α = 90.00°, β = 90.00°, γ = 90.00°
Last column: magnetic moment on the atom in μB.
Fractional coordinates of all 5 atoms:
Cs: 0.000 0.000 0.000  -0.04
Te: 0.500 0.000 0.000  -0.16
Ti: 0.500 0.500 0.500  1.79
N: 0.000 0.000 0.500  0.62
Te: 0.000 0.500 0.000  -0.16



A geometry-optimized CsTiTe2N structure, computed with GGA-PBE.

Properties
Offset from the most stable computed form (meV/atom): 0.0
ρ (g/cm³): 5.2
Fermi-level density of states (states/eV per cell): 3.49

a = 6.187 Å, b = 6.187 Å, c = 3.744 Å
α = 90.00°, β = 90.00°, γ = 90.00°
Fractional coordinates of all 5 atoms:
Cs: 0.500 0.500 0.500
Te: 0.000 0.500 0.000
Te: 0.500 0.000 0.000
N: 0.000 0.000 0.500
Ti: 0.000 0.000 0.000



A geometry-optimized CsTlTeN2 structure, computed with GGA-PBE.

Properties
Offset from the most stable computed form (meV/atom): 0.0
ρ (g/cm³): 5.2
Fermi-level density of states (states/eV per cell): 2.88

a = 5.158 Å, b = 5.158 Å, c = 5.937 Å
α = 90.00°, β = 90.00°, γ = 90.00°
Last column: magnetic moment on the atom in μB.
Fractional coordinates of all 5 atoms:
Te: 0.000 0.000 0.500  0.23
N: 0.000 0.500 0.000  1.30
N: 0.500 0.000 0.000  1.30
Cs: 0.500 0.500 0.500  0.02
Tl: 0.000 0.000 0.000  -0.03



A geometry-optimized CsTlTeN2 structure, computed with GGA-PBE.

Properties
Offset from the most stable computed form (meV/atom): 581.3
ρ (g/cm³): 4.4
Fermi-level density of states (states/eV per cell): 5.21

a = 4.925 Å, b = 4.925 Å, c = 7.756 Å
α = 90.00°, β = 90.00°, γ = 90.00°
Last column: magnetic moment on the atom in μB.
Fractional coordinates of all 5 atoms:
Tl: 0.500 0.500 0.500  0.00
Te: 0.000 0.000 0.500  0.06
Cs: 0.000 0.000 0.000  0.05
N: 0.500 0.000 0.000  1.10
N: 0.000 0.500 0.000  1.10



A geometry-optimized CsTlTe2N structure, computed with GGA-PBE.

Properties
Offset from the most stable computed form (meV/atom): 0.0
ρ (g/cm³): 5.6
Fermi-level density of states (states/eV per cell): 4.11

a = 6.238 Å, b = 6.238 Å, c = 4.621 Å
α = 90.00°, β = 90.00°, γ = 90.00°
Last column: magnetic moment on the atom in μB.
Fractional coordinates of all 5 atoms:
Cs: 0.500 0.500 0.500  0.01
N: 0.000 0.000 0.500  1.13
Tl: 0.000 0.000 0.000  -0.01
Te: 0.500 0.000 0.000  0.42
Te: 0.000 0.500 0.000  0.42



A geometry-optimized CsTlTe2N structure, computed with GGA-PBE.

Properties
Offset from the most stable computed form (meV/atom): 670.9
ρ (g/cm³): 3.9
Fermi-level density of states (states/eV per cell): 5.11

a = 7.170 Å, b = 7.170 Å, c = 4.974 Å
α = 90.00°, β = 90.00°, γ = 90.00°
Last column: magnetic moment on the atom in μB.
Fractional coordinates of all 5 atoms:
Cs: 0.000 0.000 0.000  0.11
Te: 0.500 0.000 0.000  0.61
Te: 0.000 0.500 0.000  0.61
N: 0.000 0.000 0.500  1.35
Tl: 0.500 0.500 0.500  -0.01



A geometry-optimized CsVTeN2 structure, computed with GGA-PBE.

Properties
ρ (g/cm³): 4.2
Fermi-level density of states (states/eV per cell): 10.05

a = 4.266 Å, b = 4.266 Å, c = 7.462 Å
α = 90.00°, β = 90.00°, γ = 90.00°
Last column: magnetic moment on the atom in μB.
Fractional coordinates of all 5 atoms:
N: 0.000 0.500 0.000  0.07
Cs: 0.000 0.000 0.000  -0.01
N: 0.500 0.000 0.000  0.07
V: 0.500 0.500 0.500  2.73
Te: 0.000 0.000 0.500  -0.20



A geometry-optimized CsYTe2N structure, computed with GGA-PBE.

Properties
Offset from the most stable computed form (meV/atom): 0.0
ρ (g/cm³): 4.6
Fermi-level density of states (states/eV per cell): 4.85

a = 6.153 Å, b = 6.153 Å, c = 4.703 Å
α = 90.00°, β = 90.00°, γ = 90.00°
Last column: magnetic moment on the atom in μB.
Fractional coordinates of all 5 atoms:
Cs: 0.500 0.500 0.500  0.01
Te: 0.500 0.000 0.000  0.29
N: 0.000 0.000 0.500  1.06
Te: 0.000 0.500 0.000  0.29
Y: 0.000 0.000 0.000  -0.02



Table of total magnetization (μB per formula unit), in record order: 0.00; 8.00; 0.00; 2.39; 2.51; 0.05; 4.36; 3.53; 3.22; 4.53; 3.08; 2.70
Table of E_form (uncorrected) (eV/atom), in record order: 0.48; 1.79; -0.39; 1.28; 1.78; -0.31; 1.34; 1.92; 0.60; 1.27; 2.39; -0.30